## Sb (PBE)

Data for an optimized crystal structure of Sb.

a b c (Å): 4.3822 18.7902 4.5706
angles (deg): 90.00 90.00 90.00
Space group Pmmn (No. 59, origin choice 2)
Unique sites:
Sb: 0.2500 0.0865 0.2310 x4
Sb: 0.2500 0.2500 0.2959 x2
Sb: 0.2500 0.5866 0.1986 x4
Sb: 0.2500 0.7500 0.2664 x2

## Properties
- ΔE to the lowest computed polymorph: 0.039 eV per atom
- Raw formation energy: 0.039 eV/atom


## CePr2Te (PBE)

Data for an optimized crystal structure of CePr2Te.

a b c (Å): 3.9673 3.9673 8.1095
angles (deg): 90.00 90.00 90.00
Space group P4/mmm (No. 123)
Unique sites:
Ce: 0.0000 0.0000 0.0000 x1
Pr: 0.5000 0.5000 0.2755 x2
Te: 0.0000 0.0000 0.5000 x1

## Properties
- ΔE to the lowest computed polymorph: 0.000 eV per atom
- Raw formation energy: -0.539 eV/atom


## Ti2Al2Co (PBE)

Data for an optimized crystal structure of Ti2Al2Co.

a b c (Å): 6.2410 6.2410 3.9541
angles (deg): 90.00 90.00 90.00
Space group P4/mbm (No. 127)
Unique sites:
Ti: 0.1646 0.3354 0.0000 x4
Al: 0.1436 0.6436 0.5000 x4
Co: 0.0000 0.0000 0.5000 x2

## Properties
- Formation energy: -238 meV/atom
- ΔE to the lowest computed polymorph: 0.088 eV per atom


## MgZrNiAu (PBE)

Data for an optimized crystal structure of MgZrNiAu.

a b c (Å): 6.5342 6.5342 6.5342
angles (deg): 90.00 90.00 90.00
Space group F-43m (No. 216)
Unique sites:
Mg: 0.0000 0.0000 0.0000 x4
Zr: 0.0000 0.0000 0.5000 x4
Ni: 0.2500 0.2500 0.2500 x4
Au: 0.2500 0.2500 0.7500 x4

## Properties
- Formation energy: -418 meV/atom


## SrZnSb (PBE)

Data for an optimized crystal structure of SrZnSb.

a b c (Å): 4.7208 6.0519 6.9737
angles (deg): 98.23 90.06 112.95
Space group P-1 (No. 2)
Unique sites:
Sr: 0.1225 0.2442 0.2673 x2
Zn: 0.3974 0.7942 0.0658 x2
Sb: 0.1726 0.3463 0.7610 x2

## Properties
- ΔE to the lowest computed polymorph: 0.000 eV per atom
- Raw formation energy: -0.650 eV/atom


## PdSeSBr2 (PBE)

Data for an optimized crystal structure of PdSeSBr2.

a b c (Å): 5.1588 5.1588 4.9298
angles (deg): 90.00 90.00 90.00
Space group P4/mmm (No. 123)
Unique sites:
Pd: 0.0000 0.0000 0.0000 x1
Se: 0.0000 0.0000 0.5000 x1
S: 0.5000 0.5000 0.5000 x1
Br: 0.0000 0.5000 0.0000 x2

## Properties
- ΔE to the lowest computed polymorph: 0.000 eV per atom
- Raw formation energy: 0.576 eV/atom


## Ho6TlZn2 (PBE)

Data for an optimized crystal structure of Ho6TlZn2.

a b c (Å): 4.9709 4.9709 21.5275
angles (deg): 90.00 90.00 90.00
Space group I4/mmm (No. 139)
Unique sites:
Ho: 0.0000 0.5000 0.0901 x8
Ho: 0.0000 0.5000 0.2500 x4
Tl: 0.0000 0.0000 0.0000 x2
Zn: 0.0000 0.0000 0.3321 x4

## Properties
- Formation energy: 9 meV/atom
- ΔE to the lowest computed polymorph: 0.233 eV per atom


## BaCuAg4 (PBE)

Data for an optimized crystal structure of BaCuAg4.

a b c (Å): 8.1266 8.1266 8.1266
angles (deg): 90.00 90.00 90.00
Space group F-43m (No. 216)
Unique sites:
Ba: 0.0000 0.0000 0.0000 x4
Cu: 0.2500 0.2500 0.7500 x4
Ag: 0.1239 0.1239 0.3761 x16

## Properties
- Formation energy: 40 meV/atom